No. 1
LuGeRh: relaxed, GGA-PBEsol.

The value obtained for the formation energy is -1036 meV per atom.

The space group is Pnma (No. 62) and the conventional cell measures 6.6789, 4.2000 and 7.4157 Å, with angles of 90.00, 90.00 and 90.00 degrees. The inequivalent atoms are Lu at (0.0057, 0.2500, 0.1953), Ge at (0.2159, 0.7500, 0.3909) and Rh at (0.1569, 0.2500, 0.5651).

=====

No. 2
MgScNb2Ir: relaxed, GGA-PBEsol.

The value obtained for the formation energy is 1296 meV per atom.

The space group is P4/mmm (No. 123) and the conventional cell measures 4.7365, 4.7365 and 4.6601 Å, with angles of 90.00, 90.00 and 90.00 degrees. The inequivalent atoms are Mg at (0.0000, 0.0000, 0.0000), Sc at (0.5000, 0.5000, 0.5000), Nb at (0.0000, 0.5000, 0.5000) and Ir at (0.5000, 0.5000, 0.0000).

=====

No. 3
Ba2SrLi2: relaxed, GGA-PBEsol.

The value obtained for the distance to the lowest polymorph of the same formula is 0.00 kcal/mol of atoms. The value obtained for the formation energy is 25 meV per atom.

The space group is P4/mbm (No. 127) and the conventional cell measures 9.5182, 9.5182 and 4.8669 Å, with angles of 90.00, 90.00 and 90.00 degrees. The inequivalent atoms are Ba at (0.1748, 0.3252, 0.0000), Sr at (0.0000, 0.0000, 0.5000) and Li at (0.1163, 0.6163, 0.5000).

=====

No. 4
In2GeBF: relaxed, GGA-PBEsol.

The calculation puts the formation energy without anion corrections at 58 meV/atom.

The space group is P4/mmm (No. 123) and the conventional cell measures 4.8813, 4.8813 and 3.5437 Å, with angles of 90.00, 90.00 and 90.00 degrees. The inequivalent atoms are In at (0.0000, 0.5000, 0.0000), Ge at (0.0000, 0.0000, 0.5000), B at (0.5000, 0.5000, 0.0000) and F at (0.5000, 0.5000, 0.5000).

=====

No. 5
CoNi: relaxed, GGA-PBEsol.

The value obtained for the formation energy is 105 meV per atom.

The space group is P4/nmm (No. 129, origin choice 2) and the conventional cell measures 2.8775, 2.8775 and 5.0755 Å, with angles of 90.00, 90.00 and 90.00 degrees. The inequivalent atoms are Co at (0.2500, 0.2500, 0.1241) and Ni at (0.2500, 0.2500, 0.6235).

=====

No. 6
MnTlAu2: relaxed, GGA-PBEsol.

The value obtained for the formation energy is 186 meV per atom.

The space group is I-4m2 (No. 119) and the conventional cell measures 4.1971, 4.1971 and 8.1067 Å, with angles of 90.00, 90.00 and 90.00 degrees. The inequivalent atoms are Mn at (0.0000, 0.0000, 0.0000), Tl at (0.0000, 0.5000, 0.2500), Au at (0.0000, 0.0000, 0.5000) and Au at (0.0000, 0.5000, 0.7500).

=====

For the records above, the corresponding magnetization values read 0.00, 0.00, 0.00, 0.00, 4.62, 8.28 μB per cell.